# 1
Below is crystalline MgZn3Se2 at its relaxed geometry, with properties calculated at the PBE level.

The structure belongs to space group Cmcm (No. 63); the cell edges are 8.8883, 7.6078 and 7.2632 Å and the angles 90.00°, 90.00° and 90.00°. The asymmetric unit holds Mg at (0.0000, 0.0731, 0.2500), Zn at (0.0000, 0.4216, 0.2500), Zn at (0.1469, 0.2719, 0.7500) and Se at (0.2200, 0.0000, 0.0000).

For the uncorrected formation energy, the calculation gives -1.601 eV/f.u. The calculation puts the energy at -55.95 eV/cell. Its total magnetic moment is 0.00 μB per formula unit.


# 2
Below is crystalline Dy2Er6Tl at its relaxed geometry, with properties calculated at the PBE level.

The structure belongs to space group P4_2/mnm (No. 136); the cell edges are 10.5270, 10.5270 and 4.8555 Å and the angles 90.00°, 90.00° and 90.00°. The asymmetric unit holds Dy at (0.1623, 0.1623, 0.0000), Er at (0.0001, 0.3361, 0.5000), Er at (0.1631, 0.8369, 0.0000) and Tl at (0.0000, 0.0000, 0.5000).

The calculation puts the energy at -78.56 eV/cell. Its total magnetic moment is 0.00 μB per formula unit.


# 3
Below is crystalline CeYMg6 at its relaxed geometry, with properties calculated at the PBE level.

The structure belongs to space group P-6m2 (No. 187); the cell edges are 6.7188, 6.7188 and 5.2089 Å and the angles 90.00°, 90.00° and 120.00°. The asymmetric unit holds Ce at (0.0000, 0.0000, 0.0000), Y at (0.6667, 0.3333, 0.5000), Mg at (0.0060, 0.5030, 0.0000) and Mg at (0.1701, 0.3402, 0.5000).

The calculation puts the energy at -22.23 eV/cell. Its total magnetic moment is 1.07 μB per formula unit.


# 4
Below is crystalline TbPmLuZr at its relaxed geometry, with properties calculated at the PBE level.

The structure belongs to space group F-43m (No. 216); the cell edges are 7.7913, 7.7913 and 7.7913 Å and the angles 90.00°, 90.00° and 90.00°. The asymmetric unit holds Tb at (0.0000, 0.0000, 0.0000), Pm at (0.2500, 0.2500, 0.7500), Lu at (0.2500, 0.2500, 0.2500) and Zr at (0.0000, 0.0000, 0.5000).

The calculation puts the energy at -86.18 eV/cell. Its total magnetic moment is 2.54 μB per formula unit.


# 5
Below is crystalline GdPd2Pb at its relaxed geometry, with properties calculated at the PBE level.

The structure belongs to space group P4/mmm (No. 123); the cell edges are 3.6109, 3.6109 and 6.6588 Å and the angles 90.00°, 90.00° and 90.00°. The asymmetric unit holds Gd at (0.0000, 0.0000, 0.0000), Pd at (0.5000, 0.5000, 0.2342) and Pb at (0.0000, 0.0000, 0.5000).

The calculation puts the energy at -30.50 eV/cell. Its total magnetic moment is 7.18 μB per formula unit.


# 6
Below is crystalline LiSm4Pu3Se8 at its relaxed geometry, with properties calculated at the PBE level.

The structure belongs to space group R-3m (No. 166, hexagonal axes); the cell edges are 8.2940, 8.2940 and 20.3336 Å and the angles 90.00°, 90.00° and 120.00°. The asymmetric unit holds Li at (0.0000, 0.0000, 0.0000), Sm at (0.0000, 0.0000, 0.5000), Sm at (0.0000, 0.5000, 0.5000), Pu at (0.0000, 0.5000, 0.0000), Se at (0.0000, 0.0000, 0.2513) and Se at (0.0057, 0.5028, 0.7481).

For the uncorrected formation energy, the calculation gives -27.004 eV/f.u. The calculation puts the energy at -356.00 eV/cell. Its total magnetic moment is 17.56 μB per formula unit.


# 7
Below is crystalline LaAlPt2 at its relaxed geometry, with properties calculated at the PBE level.

The structure belongs to space group Cm (No. 8); the cell edges are 7.3660, 4.2511 and 6.0720 Å and the angles 90.00°, 113.20° and 90.00°. The asymmetric unit holds La at (0.0000, 0.0000, 0.0000), Al at (0.3072, 0.5000, 0.4324), Pt at (0.1964, 0.0000, 0.6035) and Pt at (0.4423, 0.0000, 0.3344).

The calculation puts the energy at -49.34 eV/cell. Its total magnetic moment is 0.00 μB per formula unit.


# 8
Below is crystalline Ge2AsRh at its relaxed geometry, with properties calculated at the PBE level.

The structure belongs to space group I-42d (No. 122); the cell edges are 5.7852, 5.7852 and 10.9191 Å and the angles 90.00°, 90.00° and 90.00°. The asymmetric unit holds Ge at (0.2280, 0.2500, 0.1250), As at (0.0000, 0.0000, 0.5000) and Rh at (0.0000, 0.0000, 0.0000).

The calculation puts the energy at -84.86 eV/cell. Its total magnetic moment is 0.00 μB per formula unit.